A relaxed structure of Ba3PmBi2O9. Source: Alexandria via LeMat-Bulk, functional PBE.

Structure (POSCAR):
```
Ba3PmBi2O9
1.0
6.260 0.000 0.000
-3.130 5.421 0.000
0.000 0.000 7.670
Ba Pm Bi O
3 1 2 9
direct
0.000 0.000 0.000
0.333 0.667 0.673
0.667 0.333 0.327
0.000 0.000 0.500
0.333 0.667 0.168
0.667 0.333 0.832
0.000 0.500 0.000
0.171 0.342 0.326
0.171 0.829 0.326
0.342 0.171 0.674
0.500 0.000 0.000
0.500 0.500 0.000
0.658 0.829 0.326
0.829 0.171 0.674
0.829 0.658 0.674
```

Summary:
formation energy (no corrections) = -2.145 eV per atom